# KMnRhF6 (PBE with a Hubbard U, relaxed)
# - final energy (eV per atom) = -5.24
# - V (Å³ per cell) = 604
# - crystal system = orthorhombic
data_KMnRhF6
_chemical_formula_sum 'K4 Mn4 Rh4 F24'
_space_group_name_H-M_alt 'I m m a'
_space_group_IT_number 74
_space_group_name_Hall '-I 2b 2'
_cell_length_a 7.4430
_cell_length_b 7.4872
_cell_length_c 10.8454
_cell_angle_alpha 90.00
_cell_angle_beta 90.00
_cell_angle_gamma 90.00
loop_
_atom_site_label
_atom_site_type_symbol
_atom_site_fract_x
_atom_site_fract_y
_atom_site_fract_z
_atom_site_occupancy
K1 K 0.0000 0.2500 0.1601 1
Mn1 Mn 0.0000 0.0000 0.5000 1
Rh1 Rh 0.2500 0.2500 0.7500 1
F1 F 0.0000 0.2500 0.4186 1
F2 F 0.0000 0.2500 0.8218 1
F3 F 0.2107 0.0503 0.6289 1